The following is a GGA-PBE calculation of an optimized crystal structure of Sc2MnCd, from the Alexandria database.

Cell lengths 5.965, 5.965, 5.965 Å; angles 103.85, 103.85, 121.42 degrees
Sites, in units of the cell vectors:
Sc: 0.077 0.625 0.952
Sc: 0.375 0.327 0.452
Sc: 0.673 0.125 0.048
Sc: 0.875 0.923 0.548
Mn: 0.000 0.000 0.000
Mn: 0.750 0.250 0.500
Cd: 0.250 0.750 0.500
Cd: 0.500 0.500 0.000

Properties
**Formation energy from the elements**: 0.3734 eV/atom
**Uncorrected energy**: -42.51 eV/cell
**SG**: No. 122
**M_tot**: 0.00 Bohr magnetons per cell